# 1
First-principles (PBE-GGA) data for crystalline CuSb2IN at its relaxed geometry, as listed in the Alexandria database.

**Volume**: 108.98 Å³ per cell
**ΔE_f (raw)**: 4.841 eV per formula unit
**Mass density**: 6.8 Mg/m³
**Fermi-level density of states**: 2.1 states/eV per cell
**Symmetry**: No. 123

The structure in CIF format:
```
data_CuSb2IN
_chemical_formula_sum 'Cu1 Sb2 I1 N1'
_symmetry_space_group_name_H-M 'P 1'
_symmetry_Int_Tables_number 1
_cell_length_a 4.797
_cell_length_b 4.797
_cell_length_c 4.737
_cell_angle_alpha 90.00
_cell_angle_beta 90.00
_cell_angle_gamma 90.00
loop_
_symmetry_equiv_pos_as_xyz
'x,y,z'
loop_
_atom_site_label
_atom_site_fract_x
_atom_site_fract_y
_atom_site_fract_z
I1 0.000 0.000 0.500
Sb1 0.000 0.500 0.000
Sb2 0.500 0.000 0.000
Cu1 0.500 0.500 0.500
N1 0.000 0.000 0.000
```


# 2
First-principles (PBE-GGA) data for crystalline Li3UAg2S6 at its relaxed geometry, as listed in the Alexandria database.

**Volume**: 226.19 Å³ per cell
**ΔE_f (raw)**: -10.666 eV per formula unit
**Mass density**: 4.9 Mg/m³
**Fermi-level density of states**: 3.9 states/eV per cell
**Symmetry**: No. 12

The structure in CIF format:
```
data_Li3UAg2S6
_chemical_formula_sum 'Li3 U1 Ag2 S6'
_symmetry_space_group_name_H-M 'P 1'
_symmetry_Int_Tables_number 1
_cell_length_a 6.389
_cell_length_b 6.389
_cell_length_c 6.717
_cell_angle_alpha 101.71
_cell_angle_beta 101.71
_cell_angle_gamma 116.58
loop_
_symmetry_equiv_pos_as_xyz
'x,y,z'
loop_
_atom_site_label
_atom_site_fract_x
_atom_site_fract_y
_atom_site_fract_z
Li1 0.162 0.838 0.500
Li2 0.838 0.162 0.500
Li3 0.500 0.500 0.500
U1 0.000 0.000 0.000
Ag1 0.324 0.676 0.000
Ag2 0.676 0.324 0.000
S1 0.930 0.608 0.732
S2 0.753 0.753 0.223
S3 0.070 0.392 0.268
S4 0.608 0.930 0.732
S5 0.247 0.247 0.777
S6 0.392 0.070 0.268
```


# 3
First-principles (PBE-GGA) data for crystalline Sm4BiSbC at its relaxed geometry, as listed in the Alexandria database.

**Volume**: 398.33 Å³ per cell
**ΔE_f (raw)**: -4.694 eV per formula unit
**Mass density**: 7.9 Mg/m³
**Fermi-level density of states**: 10.4 states/eV per cell
**Symmetry**: No. 63

The structure in CIF format:
```
data_Sm4BiSbC
_chemical_formula_sum 'Sm8 Bi2 Sb2 C2'
_symmetry_space_group_name_H-M 'P 1'
_symmetry_Int_Tables_number 1
_cell_length_a 7.005
_cell_length_b 7.013
_cell_length_c 8.832
_cell_angle_alpha 90.00
_cell_angle_beta 113.36
_cell_angle_gamma 90.00
loop_
_symmetry_equiv_pos_as_xyz
'x,y,z'
loop_
_atom_site_label
_atom_site_fract_x
_atom_site_fract_y
_atom_site_fract_z
Sm1 0.908 0.250 0.816
Sm2 0.405 0.750 0.810
Sm3 0.092 0.750 0.184
Sm4 0.595 0.250 0.190
Sm5 0.500 0.500 0.500
Sm6 0.000 0.000 0.500
Sm7 0.500 0.000 0.500
Sm8 0.000 0.500 0.500
Bi1 0.606 0.750 0.212
Bi2 0.394 0.250 0.788
Sb1 0.110 0.250 0.220
Sb2 0.890 0.750 0.780
C1 0.249 0.750 0.497
C2 0.751 0.250 0.503
```


# 4
First-principles (PBE-GGA) data for crystalline PmTl2Cu3F12 at its relaxed geometry, as listed in the Alexandria database.

**Volume**: 268.05 Å³ per cell
**ΔE_f (raw)**: -38.604 eV per formula unit
**Mass density**: 6.0 Mg/m³
**Fermi-level density of states**: 2.0 states/eV per cell
**Symmetry**: No. 166

The structure in CIF format:
```
data_PmTl2Cu3F12
_chemical_formula_sum 'Pm1 Tl2 Cu3 F12'
_symmetry_space_group_name_H-M 'P 1'
_symmetry_Int_Tables_number 1
_cell_length_a 6.868
_cell_length_b 6.868
_cell_length_c 6.868
_cell_angle_alpha 68.03
_cell_angle_beta 68.03
_cell_angle_gamma 68.03
loop_
_symmetry_equiv_pos_as_xyz
'x,y,z'
loop_
_atom_site_label
_atom_site_fract_x
_atom_site_fract_y
_atom_site_fract_z
Pm1 0.000 0.000 0.000
Tl1 0.611 0.611 0.611
Tl2 0.389 0.389 0.389
Cu1 0.500 0.000 0.000
Cu2 0.000 0.500 0.000
Cu3 0.000 0.000 0.500
F1 0.257 0.257 0.905
F2 0.866 0.866 0.402
F3 0.402 0.866 0.866
F4 0.905 0.257 0.257
F5 0.866 0.402 0.866
F6 0.257 0.905 0.257
F7 0.743 0.743 0.095
F8 0.134 0.134 0.598
F9 0.598 0.134 0.134
F10 0.095 0.743 0.743
F11 0.134 0.598 0.134
F12 0.743 0.095 0.743
```


# 5
First-principles (PBE-GGA) data for crystalline NdGa2Pd3 at its relaxed geometry, as listed in the Alexandria database.

**E_form**: -4.4 eV/f.u.
**Volume**: 224.48 Å³ per cell
**Mass density**: 8.9 Mg/m³
**Fermi-level density of states**: 5.8 states/eV per cell
**Symmetry**: No. 63

The structure in CIF format:
```
data_NdGa2Pd3
_chemical_formula_sum 'Nd2 Ga4 Pd6'
_symmetry_space_group_name_H-M 'P 1'
_symmetry_Int_Tables_number 1
_cell_length_a 5.439
_cell_length_b 6.460
_cell_length_c 6.460
_cell_angle_alpha 98.56
_cell_angle_beta 90.01
_cell_angle_gamma 90.01
loop_
_symmetry_equiv_pos_as_xyz
'x,y,z'
loop_
_atom_site_label
_atom_site_fract_x
_atom_site_fract_y
_atom_site_fract_z
Nd1 0.250 0.318 0.318
Nd2 0.750 0.682 0.682
Ga1 0.500 0.775 0.225
Ga2 0.000 0.776 0.224
Ga3 0.000 0.224 0.776
Ga4 0.500 0.225 0.775
Pd1 0.750 0.453 0.112
Pd2 0.750 0.112 0.453
Pd3 0.250 0.547 0.888
Pd4 0.750 0.030 0.030
Pd5 0.250 0.970 0.970
Pd6 0.250 0.888 0.547
```


# 6
First-principles (PBE-GGA) data for crystalline SrDy3Os at its relaxed geometry, as listed in the Alexandria database.

**E_form**: -0.4 eV/f.u.
**Volume**: 167.24 Å³ per cell
**Mass density**: 7.6 Mg/m³
**Fermi-level density of states**: 3.2 states/eV per cell
**Symmetry**: No. 221

The structure in CIF format:
```
data_SrDy3Os
_chemical_formula_sum 'Sr1 Dy3 Os1'
_symmetry_space_group_name_H-M 'P 1'
_symmetry_Int_Tables_number 1
_cell_length_a 5.509
_cell_length_b 5.509
_cell_length_c 5.509
_cell_angle_alpha 90.00
_cell_angle_beta 90.00
_cell_angle_gamma 90.00
loop_
_symmetry_equiv_pos_as_xyz
'x,y,z'
loop_
_atom_site_label
_atom_site_fract_x
_atom_site_fract_y
_atom_site_fract_z
Sr1 0.500 0.500 0.500
Os1 0.000 0.000 0.000
Dy1 0.000 0.500 0.000
Dy2 0.000 0.000 0.500
Dy3 0.500 0.000 0.000
```


# 7
First-principles (PBE-GGA) data for crystalline YCuBr2 at its relaxed geometry, as listed in the Alexandria database.

**Volume**: 91.17 Å³ per cell
**ΔE_f (raw)**: -2.022 eV per formula unit
**Mass density**: 5.7 Mg/m³
**Fermi-level density of states**: 0.8 states/eV per cell
**Symmetry**: No. 119

The structure in CIF format:
```
data_YCuBr2
_chemical_formula_sum 'Y1 Cu1 Br2'
_symmetry_space_group_name_H-M 'P 1'
_symmetry_Int_Tables_number 1
_cell_length_a 5.623
_cell_length_b 5.623
_cell_length_c 5.623
_cell_angle_alpha 133.77
_cell_angle_beta 133.77
_cell_angle_gamma 67.45
loop_
_symmetry_equiv_pos_as_xyz
'x,y,z'
loop_
_atom_site_label
_atom_site_fract_x
_atom_site_fract_y
_atom_site_fract_z
Br1 0.000 0.000 0.000
Br2 0.250 0.750 0.500
Cu1 0.500 0.500 0.000
Y1 0.750 0.250 0.500
```


# 8
First-principles (PBE-GGA) data for crystalline Dy12Er5Th2 at its relaxed geometry, as listed in the Alexandria database.

**E_form**: 2.9 eV/f.u.
**Volume**: 615.98 Å³ per cell
**Mass density**: 8.8 Mg/m³
**Fermi-level density of states**: 28.2 states/eV per cell
**Symmetry**: No. 12

The structure in CIF format:
```
data_Dy12Er5Th2
_chemical_formula_sum 'Dy12 Er5 Th2'
_symmetry_space_group_name_H-M 'P 1'
_symmetry_Int_Tables_number 1
_cell_length_a 9.334
_cell_length_b 12.309
_cell_length_c 8.474
_cell_angle_alpha 132.47
_cell_angle_beta 90.00
_cell_angle_gamma 112.28
loop_
_symmetry_equiv_pos_as_xyz
'x,y,z'
loop_
_atom_site_label
_atom_site_fract_x
_atom_site_fract_y
_atom_site_fract_z
Dy1 0.088 0.176 0.293
Dy2 0.025 0.692 0.933
Dy3 0.666 0.692 0.933
Dy4 0.181 0.747 0.403
Dy5 0.566 0.747 0.403
Dy6 0.558 0.117 0.791
Dy7 0.442 0.883 0.209
Dy8 0.819 0.253 0.597
Dy9 0.434 0.253 0.597
Dy10 0.975 0.308 0.067
Dy11 0.334 0.308 0.067
Dy12 0.912 0.824 0.707
Er1 0.305 0.609 0.623
Er2 0.232 0.464 0.888
Er3 0.000 0.000 0.500
Er4 0.768 0.536 0.112
Er5 0.695 0.391 0.377
Th1 0.679 0.000 0.000
Th2 0.321 0.000 0.000
```


# 9
First-principles (PBE-GGA) data for crystalline RbNd2C2N6 at its relaxed geometry, as listed in the Alexandria database.

**Volume**: 193.93 Å³ per cell
**ΔE_f (raw)**: -3.640 eV per formula unit
**Mass density**: 4.1 Mg/m³
**Fermi-level density of states**: 3.4 states/eV per cell
**Symmetry**: No. 12

The structure in CIF format:
```
data_RbNd2C2N6
_chemical_formula_sum 'Rb1 Nd2 C2 N6'
_symmetry_space_group_name_H-M 'P 1'
_symmetry_Int_Tables_number 1
_cell_length_a 6.359
_cell_length_b 6.120
_cell_length_c 6.357
_cell_angle_alpha 109.82
_cell_angle_beta 90.04
_cell_angle_gamma 58.64
loop_
_symmetry_equiv_pos_as_xyz
'x,y,z'
loop_
_atom_site_label
_atom_site_fract_x
_atom_site_fract_y
_atom_site_fract_z
Rb1 0.500 0.000 0.500
Nd1 0.829 0.341 0.799
Nd2 0.171 0.659 0.201
C1 0.164 0.671 0.748
C2 0.836 0.329 0.252
N1 0.387 0.581 0.811
N2 0.969 0.418 0.189
N3 0.079 0.841 0.636
N4 0.031 0.582 0.811
N5 0.921 0.159 0.364
N6 0.613 0.419 0.189
```


# 10
First-principles (PBE-GGA) data for crystalline Sm3Cr5N12 at its relaxed geometry, as listed in the Alexandria database.

**Volume**: 955.87 Å³ per cell
**ΔE_f (raw)**: -12.391 eV per formula unit
**Mass density**: 6.1 Mg/m³
**Fermi-level density of states**: 24.9 states/eV per cell
**Symmetry**: No. 230

The structure in CIF format:
```
data_Sm3Cr5N12
_chemical_formula_sum 'Sm12 Cr20 N48'
_symmetry_space_group_name_H-M 'P 1'
_symmetry_Int_Tables_number 1
_cell_length_a 10.748
_cell_length_b 10.748
_cell_length_c 10.748
_cell_angle_alpha 109.47
_cell_angle_beta 109.47
_cell_angle_gamma 109.47
loop_
_symmetry_equiv_pos_as_xyz
'x,y,z'
loop_
_atom_site_label
_atom_site_fract_x
_atom_site_fract_y
_atom_site_fract_z
Sm1 0.750 0.375 0.125
Sm2 0.875 0.750 0.125
Sm3 0.375 0.750 0.625
Sm4 0.250 0.125 0.375
Sm5 0.875 0.125 0.250
Sm6 0.375 0.625 0.250
Sm7 0.625 0.375 0.750
Sm8 0.125 0.875 0.750
Sm9 0.750 0.875 0.625
Sm10 0.625 0.250 0.375
Sm11 0.125 0.250 0.875
Sm12 0.250 0.625 0.875
Cr1 0.125 0.375 0.250
Cr2 0.000 0.500 0.000
Cr3 0.000 0.000 0.000
Cr4 0.375 0.250 0.125
Cr5 0.500 0.000 0.500
Cr6 0.500 0.500 0.000
Cr7 0.125 0.750 0.375
Cr8 0.750 0.125 0.875
Cr9 0.750 0.625 0.375
Cr10 0.375 0.125 0.750
Cr11 0.625 0.875 0.250
Cr12 0.500 0.500 0.500
Cr13 0.500 0.000 0.000
Cr14 0.000 0.000 0.500
Cr15 0.250 0.375 0.625
Cr16 0.250 0.875 0.125
Cr17 0.000 0.500 0.500
Cr18 0.875 0.250 0.625
Cr19 0.625 0.750 0.875
Cr20 0.875 0.625 0.750
N1 0.694 0.111 0.008
N2 0.314 0.508 0.396
N3 0.992 0.389 0.306
N4 0.508 0.194 0.111
N5 0.583 0.694 0.686
N6 0.992 0.604 0.186
N7 0.314 0.806 0.417
N8 0.104 0.917 0.111
N9 0.604 0.992 0.686
N10 0.694 0.583 0.186
N11 0.806 0.492 0.389
N12 0.814 0.896 0.008
N13 0.111 0.694 0.508
N14 0.389 0.396 0.083
N15 0.083 0.896 0.389
N16 0.417 0.111 0.604
N17 0.083 0.186 0.194
N18 0.492 0.686 0.104
N19 0.814 0.917 0.306
N20 0.111 0.417 0.104
N21 0.389 0.992 0.806
N22 0.604 0.611 0.417
N23 0.896 0.814 0.508
N24 0.806 0.314 0.917
N25 0.396 0.389 0.583
N26 0.104 0.186 0.492
N27 0.194 0.686 0.083
N28 0.186 0.083 0.694
N29 0.611 0.008 0.194
N30 0.889 0.583 0.896
N31 0.508 0.314 0.896
N32 0.583 0.889 0.396
N33 0.917 0.814 0.806
N34 0.917 0.104 0.611
N35 0.889 0.306 0.492
N36 0.186 0.104 0.992
N37 0.611 0.604 0.917
N38 0.396 0.008 0.314
N39 0.306 0.417 0.814
N40 0.194 0.508 0.611
N41 0.896 0.083 0.889
N42 0.686 0.194 0.583
N43 0.492 0.806 0.889
N44 0.008 0.396 0.814
N45 0.417 0.306 0.314
N46 0.008 0.611 0.694
N47 0.686 0.492 0.604
N48 0.306 0.889 0.992
```


# 11
First-principles (PBE-GGA) data for crystalline PmPaGaPb at its relaxed geometry, as listed in the Alexandria database.

**E_form**: -0.4 eV/f.u.
**Volume**: 106.70 Å³ per cell
**Mass density**: 10.2 Mg/m³
**Fermi-level density of states**: 8.0 states/eV per cell
**Symmetry**: No. 216

The structure in CIF format:
```
data_PmPaGaPb
_chemical_formula_sum 'Pm1 Pa1 Ga1 Pb1'
_symmetry_space_group_name_H-M 'P 1'
_symmetry_Int_Tables_number 1
_cell_length_a 5.324
_cell_length_b 5.324
_cell_length_c 5.324
_cell_angle_alpha 60.00
_cell_angle_beta 60.00
_cell_angle_gamma 60.00
loop_
_symmetry_equiv_pos_as_xyz
'x,y,z'
loop_
_atom_site_label
_atom_site_fract_x
_atom_site_fract_y
_atom_site_fract_z
Pb1 0.250 0.250 0.250
Pa1 0.500 0.500 0.500
Ga1 0.750 0.750 0.750
Pm1 0.000 0.000 0.000
```


# 12
First-principles (PBE-GGA) data for crystalline Tb2Sc4Sn3O2 at its relaxed geometry, as listed in the Alexandria database.

**Volume**: 235.88 Å³ per cell
**ΔE_f (raw)**: -17.073 eV per formula unit
**Mass density**: 6.2 Mg/m³
**Fermi-level density of states**: 7.9 states/eV per cell
**Symmetry**: No. 139

The structure in CIF format:
```
data_Tb2Sc4Sn3O2
_chemical_formula_sum 'Tb2 Sc4 Sn3 O2'
_symmetry_space_group_name_H-M 'P 1'
_symmetry_Int_Tables_number 1
_cell_length_a 4.399
_cell_length_b 4.399
_cell_length_c 12.579
_cell_angle_alpha 100.07
_cell_angle_beta 100.07
_cell_angle_gamma 90.00
loop_
_symmetry_equiv_pos_as_xyz
'x,y,z'
loop_
_atom_site_label
_atom_site_fract_x
_atom_site_fract_y
_atom_site_fract_z
Tb1 0.307 0.307 0.614
Tb2 0.693 0.693 0.386
Sc1 0.418 0.918 0.836
Sc2 0.918 0.418 0.836
Sc3 0.082 0.582 0.164
Sc4 0.582 0.082 0.164
Sn1 0.000 0.000 0.000
Sn2 0.174 0.174 0.348
Sn3 0.826 0.826 0.652
O1 0.408 0.408 0.815
O2 0.592 0.592 0.185
```


Fermi-level density of states of number 10 (Sm3Cr5N12)? 24.9 states/eV per cell


What did the seventh record say?
First-principles (PBE-GGA) data for crystalline YCuBr2 at its relaxed geometry, as listed in the Alexandria database.

**Volume**: 91.17 Å³ per cell
**ΔE_f (raw)**: -2.022 eV per formula unit
**Mass density**: 5.7 Mg/m³
**Fermi-level density of states**: 0.8 states/eV per cell
**Symmetry**: No. 119

The structure in CIF format:
```
data_YCuBr2
_chemical_formula_sum 'Y1 Cu1 Br2'
_symmetry_space_group_name_H-M 'P 1'
_symmetry_Int_Tables_number 1
_cell_length_a 5.623
_cell_length_b 5.623
_cell_length_c 5.623
_cell_angle_alpha 133.77
_cell_angle_beta 133.77
_cell_angle_gamma 67.45
loop_
_symmetry_equiv_pos_as_xyz
'x,y,z'
loop_
_atom_site_label
_atom_site_fract_x
_atom_site_fract_y
_atom_site_fract_z
Br1 0.000 0.000 0.000
Br2 0.250 0.750 0.500
Cu1 0.500 0.500 0.000
Y1 0.750 0.250 0.500
```


What is the mass density in the fourth record? 6.0 Mg/m³


What is the formula in the first record? CuSb2IN